No. 1
Compound: Ca2ScSbC
Source: the Alexandria database
Functional: PBE
Structure: relaxed

- raw formation energy (kJ/mol of formula units) = 505
- total magnetization (μB per formula unit) = 1.891
- ρ (Mg/m³) = 2.7
- crystal system = tetragonal
- final energy (eV per cell) = -18.4
- energy above the most stable polymorph in this dataset (meV per atom) = 1586

```
data_Ca2ScSbC
_symmetry_space_group_name_H-M 'P 4/m m m'
_symmetry_Int_Tables_number 123
_symmetry_space_group_name_Hall '-P 4 2'
_cell_length_a 6.178
_cell_length_b 6.178
_cell_length_c 4.216
_cell_angle_alpha 90.00
_cell_angle_beta 90.00
_cell_angle_gamma 90.00
loop_
_atom_site_label
_atom_site_type_symbol
_atom_site_fract_x
_atom_site_fract_y
_atom_site_fract_z
_atom_site_occupancy
Ca1 Ca 0.000 0.500 0.000 1
Sc1 Sc 0.000 0.000 0.500 1
Sb1 Sb 0.500 0.500 0.000 1
C1 C 0.500 0.500 0.500 1
```

=====

No. 2
Compound: Ca2ScSbC
Source: the Alexandria database
Functional: PBE
Structure: relaxed

- raw formation energy (kJ/mol of formula units) = -260
- total magnetization (μB per formula unit) = 0.000
- ρ (Mg/m³) = 3.8
- crystal system = tetragonal
- final energy (eV per cell) = -26.4
- energy above the most stable polymorph in this dataset (meV per atom) = 0

```
data_Ca2ScSbC
_symmetry_space_group_name_H-M 'P 4/m m m'
_symmetry_Int_Tables_number 123
_symmetry_space_group_name_Hall '-P 4 2'
_cell_length_a 4.971
_cell_length_b 4.971
_cell_length_c 4.569
_cell_angle_alpha 90.00
_cell_angle_beta 90.00
_cell_angle_gamma 90.00
loop_
_atom_site_label
_atom_site_type_symbol
_atom_site_fract_x
_atom_site_fract_y
_atom_site_fract_z
_atom_site_occupancy
Ca1 Ca 0.000 0.500 0.000 1
Sc1 Sc 0.000 0.000 0.500 1
Sb1 Sb 0.500 0.500 0.500 1
C1 C 0.000 0.000 0.000 1
```

=====

> The highest energy above the most stable polymorph in this dataset belongs to which entry?

number 1

=====

> Which formula does entry 1 have?

Ca2ScSbC